A plane-wave DFT calculation with PBE was carried out for TlAg2SnSe4 after structural relaxation.

Calculated values
As for the total energy: -3.485 eV per atom. As for the crystal system: orthorhombic. Its density of states at the Fermi level is 0.4812 states/eV/atom.

a = 7.221 Å, b = 6.681 Å, c = 6.681 Å
α = 80.20°, β = 57.29°, γ = 57.29°
Positions (direct):
Tl1 0.000 0.000 0.000
Ag1 0.500 0.749 0.251
Ag2 0.500 0.251 0.749
Sn1 0.000 0.500 0.500
Se1 0.584 0.539 0.877
Se2 0.416 0.123 0.461
Se3 0.000 0.461 0.123
Se4 0.000 0.877 0.539